# CsBa2CuAs, optimized geometry, DFT GGA-PBE
data_CsBa2CuAs
_chemical_formula_sum 'Cs1 Ba2 Cu1 As1'
_space_group_name_H-M_alt 'P 1'
_space_group_IT_number 1
_cell_length_a 6.330
_cell_length_b 6.330
_cell_length_c 7.064
_cell_angle_alpha 90.00
_cell_angle_beta 90.00
_cell_angle_gamma 90.00
loop_
_space_group_symop_operation_xyz
'x,y,z'
loop_
_atom_site_label
_atom_site_fract_x
_atom_site_fract_y
_atom_site_fract_z
Cs1 0.000 0.000 0.000
Ba1 0.000 0.500 0.500
Ba2 0.500 0.000 0.500
Cu1 0.500 0.500 0.000
As1 0.000 0.000 0.500
# **V**: 283.0 Å³/f.u.
# **DFT formation energy**: -0.08 eV/atom
# **Final energy**: -13.8 eV per formula unit